{
  "formula": "HPbAu2N",
  "functional": "PBE-GGA",
  "state": "optimized geometry",
  "magmom_total_mub_per_cell": 0.9,
  "sg": "No. 123",
  "total_energy_ev_per_fu": -13.7,
  "vol_a3_per_atom": 26.18,
  "lattice_angstrom": [[5.459, 0.000, 0.000], [0.000, 5.459, 0.000], [0.000, 0.000, 4.393]],
  "species": ["H", "Pb", "Au", "Au", "N"],
  "fractional_positions": [[0.000, 0.000, 0.000], [0.500, 0.500, 0.500], [0.000, 0.500, 0.500], [0.500, 0.000, 0.500], [0.500, 0.500, 0.000]]
}